[1]
Entry from Alexandria via LeMat-Bulk: crystalline Pm3Mg5Cd2 at its relaxed geometry (PBE-GGA).

E_tot in eV for the cell shown: -48.9
Crystal system: orthorhombic
ΔH_f (0 K) in eV per formula unit: -0.4
N(E_F) in states/eV per cell: 17.41
Symmetry: No. 72

Unit cell a=6.3538 b=9.8135 c=9.8135 alpha=87.01 beta=71.11 gamma=71.11
With the nearest neighbours (Å) after each atom.
Fractional positions:
Pm: 0.2500 0.0000 0.0000  4 Cd 3.16, 2 Pm 3.18, 2 Mg 3.26
Mg: 0.5059 0.7441 0.7441  2 Cd 2.99, 5 Mg 2.99-3.18, 1 Pm 3.26
Pm: 0.7500 0.0000 0.0000  4 Cd 3.16, 2 Pm 3.18, 2 Mg 3.26
Cd: 0.6407 0.0117 0.7069  3 Mg 2.72-2.99
Mg: 0.6206 0.2319 0.5268  1 Cd 2.72, 4 Mg 2.98-2.99
Pm: 0.1255 0.1238 0.6253  4 Cd 3.26-3.63, 4 Mg 3.43-3.52
Cd: 0.8593 0.2931 0.9883  3 Mg 2.72-2.99
Pm: 0.3745 0.3747 0.8762  4 Cd 3.26-3.63, 4 Mg 3.43-3.52
Pm: 0.8745 0.8762 0.3747  4 Cd 3.26-3.63, 4 Mg 3.43-3.52
Mg: 0.8794 0.4732 0.7681  1 Cd 2.72, 4 Mg 2.98-2.99
Mg: 0.7500 0.5000 0.5000  8 Mg 2.98-3.18
Mg: 0.1206 0.5268 0.2319  1 Cd 2.72, 4 Mg 2.98-2.99
Mg: 0.2500 0.5000 0.5000  8 Mg 2.98-3.18
Mg: 0.3794 0.7681 0.4732  1 Cd 2.72, 4 Mg 2.98-2.99
Cd: 0.1407 0.7069 0.0117  3 Mg 2.72-2.99
Mg: 0.4941 0.2559 0.2559  2 Cd 2.99, 5 Mg 2.99-3.18, 1 Pm 3.26
Mg: 0.0059 0.7441 0.7441  2 Cd 2.99, 5 Mg 2.99-3.18, 1 Pm 3.26
Pm: 0.6255 0.6253 0.1238  4 Cd 3.26-3.63, 4 Mg 3.43-3.52
Mg: 0.9941 0.2559 0.2559  2 Cd 2.99, 5 Mg 2.99-3.18, 1 Pm 3.26
Cd: 0.3593 0.9883 0.2931  3 Mg 2.72-2.99



[2]
Entry from Alexandria via LeMat-Bulk: crystalline PmMgCd3 at its relaxed geometry (PBE-GGA).

Energy above the lowest structure with this stoichiometry in eV per atom: 0.000
E_tot in eV for the cell shown: -20.3
Crystal system: monoclinic
ΔH_f (0 K) in eV per formula unit: -1.1
N(E_F) in states/eV per cell: 5.98
Symmetry: No. 12

Unit cell a=4.9208 b=8.0251 c=6.7873 alpha=103.96 beta=90.00 gamma=107.85
With the nearest neighbours (Å) after each atom.
Fractional positions:
Cd: 0.3362 0.6724 0.2973  1 Mg 2.96, 5 Cd 3.02-3.11, 2 Pm 3.25
Mg: 0.4792 0.9585 0.7659  4 Cd 2.87-2.98, 1 Mg 3.08
Mg: 0.5208 0.0415 0.2341  4 Cd 2.87-2.98, 1 Mg 3.08
Pm: 0.1259 0.2518 0.9824  8 Cd 3.25-3.60, 4 Mg 3.40-3.60
Cd: 0.0857 0.1715 0.4357  2 Mg 2.87, 4 Cd 2.96-3.11
Cd: 0.7214 0.4428 0.2988  1 Mg 2.98, 4 Cd 3.02-3.08
Cd: 0.6638 0.3276 0.7027  1 Mg 2.96, 5 Cd 3.02-3.11, 2 Pm 3.25
Cd: 0.9143 0.8285 0.5643  2 Mg 2.87, 4 Cd 2.96-3.11
Cd: 0.2786 0.5572 0.7012  1 Mg 2.98, 4 Cd 3.02-3.08
Pm: 0.8741 0.7482 0.0176  8 Cd 3.25-3.60, 4 Mg 3.40-3.60



Which of these has the highest E_tot? PmMgCd3



Among the records above, which one has the highest N(E_F)? Pm3Mg5Cd2